Entry 1:
Computed, not measured: an optimized crystal structure of Tb4ThTe5 at the GGA-PBE level of DFT.

ΔE_f (raw) = -120 kJ per mole of atoms
ΔE to the lowest computed polymorph = 0 meV per atom
crystal system = tetragonal

Unit cell a=4.3756 b=4.3756 c=31.4279 alpha=90.00 beta=90.00 gamma=90.00
Space group I4/mmm (No. 139)
Symmetry-distinct sites (fractional):
1 Tb 0.0000 0.0000 0.0945 x4
2 Tb 0.0000 0.0000 0.2921 x4
3 Th 0.0000 0.0000 0.5000 x2
4 Te 0.0000 0.0000 0.0000 x2
5 Te 0.0000 0.0000 0.1946 x4
6 Te 0.0000 0.0000 0.3955 x4

Entry 2:
Computed, not measured: an optimized crystal structure of Pr4TlTeN at the GGA-PBE level of DFT.

ΔE_f (raw) = -82 kJ per mole of atoms
crystal system = orthorhombic

Unit cell a=6.9958 b=16.5161 c=7.0187 alpha=90.00 beta=90.00 gamma=90.00
Space group Cmcm (No. 63)
Symmetry-distinct sites (fractional):
1 Pr 0.0000 0.0880 0.2500 x4
2 Pr 0.0000 0.4101 0.2500 x4
3 Pr 0.2500 0.2500 0.0000 x8
4 Tl 0.0000 0.1089 0.7500 x4
5 Te 0.0000 0.3903 0.7500 x4
6 N 0.0000 0.2438 0.2500 x4

Entry 3:
Computed, not measured: an optimized crystal structure of Tb2Mg3In3 at the GGA-PBE level of DFT.

final energy = -3.125 eV/atom
crystal system = orthorhombic

Unit cell a=4.6872 b=4.7509 c=8.8160 alpha=90.00 beta=90.00 gamma=90.00
Space group Pmmm (No. 47)
Symmetry-distinct sites (fractional):
1 Tb 0.0000 0.0000 0.2475 x2
2 Mg 0.0000 0.5000 0.5000 x1
3 Mg 0.5000 0.5000 0.2507 x2
4 In 0.0000 0.5000 0.0000 x1
5 In 0.5000 0.0000 0.0000 x1
6 In 0.5000 0.0000 0.5000 x1

Entry 4:
Computed, not measured: an optimized crystal structure of NaCa6Pd2 at the GGA-PBE level of DFT.

final energy = -2.989 eV/atom
crystal system = orthorhombic

Unit cell a=9.8463 b=10.3021 c=11.2334 alpha=90.00 beta=90.00 gamma=90.00
Space group Immm (No. 71)
Symmetry-distinct sites (fractional):
1 Na 0.0000 0.0000 0.0000 x2
2 Na 0.0000 0.0000 0.5000 x2
3 Ca 0.0000 0.2104 0.2382 x8
4 Ca 0.1819 0.5000 0.1649 x8
5 Ca 0.2058 0.3204 0.5000 x8
6 Pd 0.0000 0.3245 0.0000 x4
7 Pd 0.0000 0.5000 0.3720 x4

Number 1: total moment 0.00 μB per formula unit. Number 2: total moment 0.00 μB per formula unit. Number 3: total moment 0.00 μB per formula unit. Number 4: total moment 0.00 μB per formula unit.